PBE-GGA Th3CoI3, relaxed; E_form (uncorrected) = -5.504 eV/f.u.; symmetry = P2_1/m
1.0
9.538 0.000 0.000
0.000 3.942 0.000
-0.495 0.000 12.273
Th Co I
6 2 6
direct
0.084 0.250 0.126
0.085 0.250 0.613
0.291 0.750 0.369
0.709 0.250 0.631
0.915 0.750 0.387
0.916 0.750 0.874
0.108 0.250 0.371
0.892 0.750 0.629
0.186 0.250 0.873
0.359 0.750 0.118
0.395 0.750 0.628
0.605 0.250 0.372
0.641 0.250 0.882
0.814 0.750 0.127

---

PBE-GGA Ac2Pr3Nd2, relaxed; ΔE_f = 0.09 eV per atom; distance to the lowest polymorph of the same formula = 2.6 meV/atom; symmetry = C2/m
1.0
6.538 -3.100 0.000
6.538 3.100 0.000
-1.063 0.000 6.586
Ac Pr Nd
2 3 2
direct
0.150 0.150 0.058
0.850 0.850 0.942
0.000 0.000 0.500
0.282 0.282 0.595
0.718 0.718 0.405
0.449 0.449 0.228
0.551 0.551 0.772

---

PBE-GGA CePm14Tl, relaxed; ΔE_f = 0.00 eV per atom; symmetry = Amm2
1.0
11.593 0.000 0.000
0.000 3.670 6.297
0.000 -3.670 6.297
Ce Pm Tl
1 14 1
direct
0.000 0.000 0.000
0.000 0.002 0.526
0.000 0.526 0.002
0.237 0.339 0.838
0.237 0.838 0.339
0.239 0.343 0.343
0.259 0.840 0.840
0.500 0.011 0.011
0.500 0.012 0.500
0.500 0.500 0.012
0.500 0.510 0.510
0.741 0.840 0.840
0.761 0.343 0.343
0.763 0.339 0.838
0.763 0.838 0.339
0.000 0.509 0.509

---

PBE-GGA Hf2ScHgN, relaxed; E_form (uncorrected) = -4.391 eV/f.u.; symmetry = P4/mmm
1.0
4.430 0.000 0.000
0.000 4.430 0.000
0.000 0.000 4.466
Hf Sc Hg N
2 1 1 1
direct
0.000 0.500 0.000
0.500 0.000 0.000
0.000 0.000 0.500
0.500 0.500 0.500
0.000 0.000 0.000

---

For the records above, the corresponding spin magnetization values read 0.001, 0.000, 1.317, 0.000 μB per cell.